# ScPOs2 (PBE, optimized geometry)
# **Total DFT energy (no corrections)**: -69.42 eV/cell
# **Calculated volume**: 118.6 Å³ per cell
data_ScPOs2
_chemical_formula_sum 'Sc2 P2 Os4'
_cell_length_a 3.039
_cell_length_b 4.336
_cell_length_c 9.001
_cell_angle_alpha 90.00
_cell_angle_beta 90.00
_cell_angle_gamma 90.00
_space_group_name_H-M_alt 'I m m 2'
_space_group_IT_number 44
loop_
_space_group_symop_operation_xyz
'x,y,z'
'-x,-y,z'
'-x,y,z'
'x,-y,z'
'x+1/2,y+1/2,z+1/2'
'-x+1/2,-y+1/2,z+1/2'
'-x+1/2,y+1/2,z+1/2'
'x+1/2,-y+1/2,z+1/2'
loop_
_atom_site_label
_atom_site_fract_x
_atom_site_fract_y
_atom_site_fract_z
_atom_site_occupancy
Sc1 0.000 0.000 0.000 1
P1 0.000 0.500 0.755 1
Os1 0.000 0.000 0.463 1
Os2 0.000 0.500 0.227 1